Tl2CoPdCl: optimized geometry, GGA-PBE.

abc: 5.537 4.726 5.537
angles: 90.00 90.00 90.00
Site moments in Bohr magnetons follow the coordinates.
Atoms (fractional coordinates):
Tl: 0.000 0.000 0.500  -0.02
Tl: 0.500 0.000 0.000  -0.02
Co: 0.500 0.500 0.500  2.14
Pd: 0.000 0.000 0.000  -0.01
Cl: 0.000 0.500 0.000  0.00

***

V2CoPdCl: optimized geometry, GGA-PBE.

abc: 4.905 4.649 4.905
angles: 90.00 90.00 90.00
Site moments in Bohr magnetons follow the coordinates.
Atoms (fractional coordinates):
Cl: 0.000 0.500 0.000  -0.04
Co: 0.500 0.500 0.500  2.16
Pd: 0.000 0.000 0.000  0.00
V: 0.000 0.000 0.500  -2.26
V: 0.500 0.000 0.000  -2.97

***

Pm2Co2Cl: optimized geometry, GGA-PBE.

abc: 3.938 3.938 8.377
angles: 90.01 103.57 120.02
Atoms (fractional coordinates):
Pm: 0.848 0.424 0.271
Pm: 0.152 0.576 0.729
Co: 0.336 0.168 0.504
Co: 0.664 0.832 0.496
Cl: 0.000 0.000 0.000

***

Taking the records one at a time from the top gives N(E_F) values of 1.592, 8.509, 4.756 states/eV per cell.
Taking the records one at a time from the top gives formation energy (no corrections) values of 2.61, 7.21, -3.93 eV per formula unit.